Entry 1:
Density functional theory data (PBE) for a geometry-optimized ScSi structure.

Lattice parameters (Å, degrees): 9.5282 9.5282 3.6468 90.00 90.00 90.00
Closest atoms and distances in Å follow each position.
Element x y z (fractional)
Sc  0.5000  0.2042  0.5000  6 Si 2.77-2.93
Sc  0.0000  0.2958  0.0000  6 Si 2.77-2.93
Sc  0.7958  0.5000  0.5000  6 Si 2.77-2.93
Sc  0.5000  0.7958  0.5000  6 Si 2.77-2.93
Sc  0.7042  0.0000  0.0000  6 Si 2.77-2.93
Sc  0.0000  0.7042  0.0000  6 Si 2.77-2.93
Sc  0.2958  0.0000  0.0000  6 Si 2.77-2.93
Sc  0.2042  0.5000  0.5000  6 Si 2.77-2.93
Si  0.1927  0.8073  0.5000  2 Si 2.39
Si  0.8073  0.1927  0.5000  2 Si 2.39
Si  0.6927  0.6927  0.0000  2 Si 2.39
Si  0.3073  0.3073  0.0000  2 Si 2.39
Si  0.3073  0.6927  0.0000  2 Si 2.39
Si  0.1927  0.1927  0.5000  2 Si 2.39
Si  0.6927  0.3073  0.0000  2 Si 2.39
Si  0.8073  0.8073  0.5000  2 Si 2.39

formation energy without anion corrections: -0.487 eV per atom


Entry 2:
Density functional theory data (PBE) for a geometry-optimized Sc8Si structure.

Lattice parameters (Å, degrees): 7.2032 7.2032 7.2032 95.04 95.04 145.51
Closest atoms and distances in Å follow each position.
Element x y z (fractional)
Sc  0.6566  0.3434  0.0000  2 Si 3.03, 10 Sc 3.05-3.34
Sc  0.3434  0.6566  0.0000  2 Si 3.03, 10 Sc 3.05-3.34
Sc  0.0000  0.6681  0.6681  11 Sc 3.13-3.34, 1 Si 3.23
Sc  0.3434  0.3434  0.6869  2 Si 3.03, 10 Sc 3.05-3.34
Sc  0.0000  0.3319  0.3319  11 Sc 3.13-3.34, 1 Si 3.23
Sc  0.6566  0.6566  0.3131  2 Si 3.03, 10 Sc 3.05-3.34
Sc  0.6681  0.0000  0.6681  11 Sc 3.13-3.34, 1 Si 3.23
Sc  0.3319  0.0000  0.3319  11 Sc 3.13-3.34, 1 Si 3.23
Si  0.0000  0.0000  0.0000  12 Sc 3.03-3.23

formation energy without anion corrections: -0.108 eV per atom


Entry 3:
Density functional theory data (PBE) for a geometry-optimized ScSi structure.

Lattice parameters (Å, degrees): 7.4905 7.4905 7.4905 90.00 90.00 90.00
Closest atoms and distances in Å follow each position.
Element x y z (fractional)
Si  0.0000  0.7500  0.5000  4 Sc 2.65
Si  0.0000  0.2500  0.5000  4 Sc 2.65
Si  0.7500  0.5000  0.0000  4 Sc 2.65
Si  0.5000  0.0000  0.7500  4 Sc 2.65
Si  0.2500  0.5000  0.0000  4 Sc 2.65
Si  0.5000  0.0000  0.2500  4 Sc 2.65
Sc  0.5000  0.7500  0.0000  4 Si 2.65
Sc  0.0000  0.5000  0.2500  4 Si 2.65
Sc  0.7500  0.0000  0.5000  4 Si 2.65
Sc  0.0000  0.5000  0.7500  4 Si 2.65
Sc  0.2500  0.0000  0.5000  4 Si 2.65
Sc  0.5000  0.2500  0.0000  4 Si 2.65

formation energy without anion corrections: 0.478 eV per atom


Entry 4:
Density functional theory data (PBE) for a geometry-optimized Sc3Si structure.

Lattice parameters (Å, degrees): 5.6652 5.6652 5.6652 116.86 116.86 116.86
Closest atoms and distances in Å follow each position.
Element x y z (fractional)
Sc  0.0000  0.5000  0.5000  2 Si 2.97, 6 Sc 2.97-3.04
Sc  0.0000  0.0000  0.0000  6 Sc 2.97-3.04, 2 Si 2.97
Sc  0.5000  0.5000  0.0000  6 Sc 2.97-3.04, 2 Si 2.97
Si  0.5000  0.0000  0.5000  6 Sc 2.97, 2 Si 3.04

energy above the lowest structure with this stoichiometry: 6.88 kcal/mol of atoms
formation energy without anion corrections: -0.177 eV per atom


Entry 5:
Density functional theory data (PBE) for a geometry-optimized Sc2Si3 structure.

Lattice parameters (Å, degrees): 4.0786 4.0804 6.3705 90.00 90.00 120.00
Closest atoms and distances in Å follow each position.
Element x y z (fractional)
Sc  0.0000  0.0000  0.4868  9 Si 2.80-2.89, 1 Sc 3.02
Sc  0.0000  0.0000  0.0132  9 Si 2.80-2.89, 1 Sc 3.02
Si  0.6665  0.3332  0.7500  3 Si 2.36
Si  0.3333  0.6667  0.7500  3 Si 2.36
Si  0.6668  0.3335  0.2500  6 Sc 2.80

energy above the lowest structure with this stoichiometry: 5.01 kcal/mol of atoms
formation energy without anion corrections: -0.396 eV per atom


Entry 6:
Density functional theory data (PBE) for a geometry-optimized ScSi6 structure.

Lattice parameters (Å, degrees): 5.7516 5.7516 5.7516 109.47 109.47 109.47
Closest atoms and distances in Å follow each position.
Element x y z (fractional)
Si  0.2500  0.5000  0.7500  4 Si 2.35
Si  0.7500  0.2500  0.5000  4 Si 2.35
Si  0.5000  0.7500  0.2500  4 Si 2.35
Si  0.7500  0.5000  0.2500  4 Si 2.35
Si  0.2500  0.7500  0.5000  4 Si 2.35
Si  0.5000  0.2500  0.7500  4 Si 2.35
Sc  0.0000  0.0000  0.0000  24 Si 3.71

formation energy without anion corrections: 0.338 eV per atom


Entry 7:
Density functional theory data (PBE) for a geometry-optimized ScSi structure.

Lattice parameters (Å, degrees): 3.1575 5.4436 4.5196 90.00 90.00 90.00
Closest atoms and distances in Å follow each position.
Element x y z (fractional)
Sc  0.0000  0.0000  0.1667  6 Si 2.72-2.76
Sc  0.5000  0.5000  0.6667  6 Si 2.72-2.76
Si  0.0000  0.5000  0.1667  6 Sc 2.72-2.76
Si  0.5000  0.0000  0.6667  6 Sc 2.72-2.76

formation energy without anion corrections: -0.471 eV per atom


Entry 8:
Density functional theory data (PBE) for a geometry-optimized Sc3Si structure.

Lattice parameters (Å, degrees): 5.6951 7.2201 8.4582 90.00 90.00 90.00
Closest atoms and distances in Å follow each position.
Element x y z (fractional)
Sc  0.8870  0.9687  0.2500  2 Si 2.73-2.79
Sc  0.1130  0.0313  0.7500  2 Si 2.73-2.79
Sc  0.8439  0.6744  0.5525  3 Si 2.74-2.88
Sc  0.6561  0.1744  0.9475  3 Si 2.74-2.88
Sc  0.6561  0.1744  0.5525  3 Si 2.74-2.88
Sc  0.3439  0.8256  0.4475  3 Si 2.74-2.88
Sc  0.6130  0.4687  0.2500  2 Si 2.73-2.79
Sc  0.8439  0.6744  0.9475  3 Si 2.74-2.88
Sc  0.1561  0.3256  0.0525  3 Si 2.74-2.88
Sc  0.3439  0.8256  0.0525  3 Si 2.74-2.88
Sc  0.3870  0.5313  0.7500  2 Si 2.73-2.79
Sc  0.1561  0.3256  0.4475  3 Si 2.74-2.88
Si  0.5644  0.8825  0.7500  8 Sc 2.73-2.88
Si  0.9356  0.3825  0.7500  8 Sc 2.73-2.88
Si  0.0644  0.6175  0.2500  8 Sc 2.73-2.88
Si  0.4356  0.1175  0.2500  8 Sc 2.73-2.88

energy above the lowest structure with this stoichiometry: 0.46 kcal/mol of atoms
formation energy without anion corrections: -0.456 eV per atom


Repeat the seventh record exactly.
Density functional theory data (PBE) for a geometry-optimized ScSi structure.

Lattice parameters (Å, degrees): 3.1575 5.4436 4.5196 90.00 90.00 90.00
Closest atoms and distances in Å follow each position.
Element x y z (fractional)
Sc  0.0000  0.0000  0.1667  6 Si 2.72-2.76
Sc  0.5000  0.5000  0.6667  6 Si 2.72-2.76
Si  0.0000  0.5000  0.1667  6 Sc 2.72-2.76
Si  0.5000  0.0000  0.6667  6 Sc 2.72-2.76

formation energy without anion corrections: -0.471 eV per atom


Look up the formation energy without anion corrections of the third one. 0.478 eV per atom


Which value of formation energy without anion corrections does entry 8 give? -0.456 eV per atom


What is the formation energy without anion corrections in the second record? -0.108 eV per atom